DFT (SCAN) results for Li3Al at its PBEsol-relaxed geometry.

Computed properties:
ΔH_f (0 K) = -0.069 eV per atom

```
4
Lattice="-1.3710 2.2318 -1.2835 -1.3330 -1.8500 -1.8189 -6.1050 -0.7428 5.2295" Properties=species:S:1:pos:R:3 pbc="T T T"
Li -2.7610 0.0195 -0.3443
Al 0.0000 0.0000 0.0000
Li -3.0525 -0.3714 2.6147
Li -6.0480 -0.3804 2.4713
```